PBE CdTe12Pd7, optimized geometry; DOS(E_F) = 9.23 states/eV per cell; total magnetic moment = 0.00 μB per cell; formation energy without anion corrections = -5.23 kcal/mol of atoms
1.0
6.537 3.774 3.582
-6.537 3.774 3.582
0.000 -7.548 3.582
Cd Te Pd
1 12 7
Direct
0.000 0.000 0.000
0.038 0.223 0.711
0.157 0.456 0.391
0.223 0.711 0.038
0.289 0.962 0.777
0.391 0.157 0.456
0.456 0.391 0.157
0.544 0.609 0.843
0.609 0.843 0.544
0.711 0.038 0.223
0.777 0.289 0.962
0.843 0.544 0.609
0.962 0.777 0.289
0.058 0.120 0.358
0.120 0.358 0.058
0.358 0.058 0.120
0.500 0.500 0.500
0.642 0.942 0.880
0.880 0.642 0.942
0.942 0.880 0.642

---

PBE Cd2TePd2, optimized geometry; relative energy among the computed polymorphs = 246 meV/atom; DOS(E_F) = 5.22 states/eV per cell; total magnetic moment = 0.00 μB per cell; formation energy without anion corrections = -0.51 kcal/mol of atoms
1.0
3.887 0.000 0.000
0.000 3.887 0.000
0.000 0.000 14.678
Cd Te Pd
4 2 4
Direct
0.000 0.000 0.112
0.000 0.000 0.888
0.500 0.500 0.388
0.500 0.500 0.612
0.000 0.000 0.500
0.500 0.500 0.000
0.000 0.500 0.250
0.000 0.500 0.750
0.500 0.000 0.250
0.500 0.000 0.750

---

PBE CdTe3Pd2, optimized geometry; DOS(E_F) = 2.82 states/eV per cell; total magnetic moment = 0.00 μB per cell; formation energy without anion corrections = -7.94 kcal/mol of atoms
1.0
8.015 0.000 0.000
-4.007 6.941 0.000
0.000 0.000 5.417
Cd Te Pd
2 6 4
Direct
0.333 0.667 0.318
0.667 0.333 0.682
0.173 0.345 0.748
0.173 0.827 0.748
0.345 0.173 0.252
0.655 0.827 0.748
0.827 0.173 0.252
0.827 0.655 0.252
0.000 0.000 0.000
0.000 0.500 0.000
0.500 0.000 0.000
0.500 0.500 0.000

---

PBE CdTe4Pd2, optimized geometry; DOS(E_F) = 5.35 states/eV per cell; total magnetic moment = 0.00 μB per cell; formation energy without anion corrections = -5.83 kcal/mol of atoms
1.0
-4.091 4.112 5.782
4.091 -4.112 5.782
4.091 4.112 -5.782
Cd Te Pd
2 8 4
Direct
0.000 0.000 0.000
0.500 0.000 0.500
0.265 0.288 0.523
0.265 0.742 0.977
0.270 0.740 0.530
0.290 0.260 0.030
0.710 0.740 0.970
0.730 0.260 0.470
0.735 0.258 0.023
0.735 0.712 0.477
0.000 0.500 0.500
0.500 0.000 0.000
0.500 0.500 0.000
0.500 0.500 0.500

---

PBE CdTePd6, optimized geometry; relative energy among the computed polymorphs = 167 meV/atom; DOS(E_F) = 10.70 states/eV per cell; total magnetic moment = 0.00 μB per cell; formation energy without anion corrections = -1.93 kcal/mol of atoms
1.0
7.948 0.000 0.000
0.000 5.602 0.000
-2.703 0.000 6.788
Cd Te Pd
2 2 12
Direct
0.000 0.000 0.000
0.500 0.500 0.000
0.000 0.500 0.500
0.500 0.000 0.500
0.151 0.000 0.440
0.187 0.240 0.798
0.187 0.760 0.798
0.313 0.260 0.202
0.313 0.740 0.202
0.349 0.500 0.560
0.651 0.500 0.440
0.687 0.260 0.798
0.687 0.740 0.798
0.813 0.240 0.202
0.813 0.760 0.202
0.849 0.000 0.560

---

PBE Cd2TePd9, optimized geometry; DOS(E_F) = 9.57 states/eV per cell; total magnetic moment = 0.00 μB per cell; formation energy without anion corrections = -5.65 kcal/mol of atoms
1.0
4.036 0.000 0.000
0.000 4.036 0.000
0.000 0.000 12.189
Cd Te Pd
2 1 9
Direct
0.000 0.000 0.164
0.000 0.000 0.836
0.000 0.000 0.500
0.000 0.500 0.000
0.000 0.500 0.334
0.000 0.500 0.666
0.500 0.000 0.000
0.500 0.000 0.334
0.500 0.000 0.666
0.500 0.500 0.168
0.500 0.500 0.500
0.500 0.500 0.832

---

PBE Cd2TePd, optimized geometry; DOS(E_F) = 0.00 states/eV per cell; total magnetic moment = 0.00 μB per cell; formation energy without anion corrections = 2.05 kcal/mol of atoms
1.0
6.381 0.000 0.000
0.000 6.381 0.000
0.000 0.000 12.794
Cd Te Pd
8 4 4
Direct
0.225 0.250 0.125
0.250 0.725 0.375
0.250 0.775 0.875
0.275 0.250 0.625
0.725 0.750 0.625
0.750 0.225 0.875
0.750 0.275 0.375
0.775 0.750 0.125
0.000 0.000 0.500
0.000 0.500 0.750
0.500 0.000 0.250
0.500 0.500 0.000
0.000 0.000 0.000
0.000 0.500 0.250
0.500 0.000 0.750
0.500 0.500 0.500

---

PBE Cd4TePd15, optimized geometry; DOS(E_F) = 21.97 states/eV per cell; total magnetic moment = 0.00 μB per cell; formation energy without anion corrections = -5.46 kcal/mol of atoms
1.0
4.036 0.000 0.000
0.000 4.036 0.000
0.000 0.000 20.235
Cd Te Pd
4 1 15
Direct
0.000 0.000 0.099
0.000 0.000 0.298
0.000 0.000 0.702
0.000 0.000 0.901
0.000 0.000 0.500
0.000 0.500 0.000
0.000 0.500 0.199
0.000 0.500 0.400
0.000 0.500 0.600
0.000 0.500 0.801
0.500 0.000 0.000
0.500 0.000 0.199
0.500 0.000 0.400
0.500 0.000 0.600
0.500 0.000 0.801
0.500 0.500 0.099
0.500 0.500 0.300
0.500 0.500 0.500
0.500 0.500 0.700
0.500 0.500 0.901